No. 1
Here is Er2NpFeO8 after structural relaxation from Alexandria. Energies are from GGA+U.

Cell: 4.944 4.944 6.765 Å, 90.00 90.00 92.92°
Fractional coordinates of all 12 atoms:
Er 0.000 0.000 0.236
Er 0.000 0.000 0.764
Np 0.500 0.500 0.500
Fe 0.500 0.500 0.000
O 0.206 0.206 0.500
O 0.217 0.217 0.000
O 0.318 0.682 0.266
O 0.318 0.682 0.734
O 0.682 0.318 0.266
O 0.682 0.318 0.734
O 0.783 0.783 0.000
O 0.794 0.794 0.500

Values from the calculation:
space group	Cmmm, No. 65

=====

No. 2
Here is ErFeO3 after structural relaxation from Alexandria. Energies are from GGA+U.

Cell: 3.530 3.530 11.821 Å, 90.00 90.00 120.00°
Fractional coordinates of all 10 atoms:
Er 0.000 0.000 0.000
Er 0.000 0.000 0.500
Fe 0.333 0.667 0.250
Fe 0.667 0.333 0.750
O 0.000 0.000 0.250
O 0.000 0.000 0.750
O 0.333 0.667 0.084
O 0.333 0.667 0.416
O 0.667 0.333 0.584
O 0.667 0.333 0.916

Values from the calculation:
space group	P6_3/mmc, No. 194

=====

No. 3
Here is ErFe2O4 after structural relaxation from Alexandria. Energies are from GGA+U.

Cell: 8.068 8.068 8.068 Å, 25.52 25.52 25.52°
Fractional coordinates of all 7 atoms:
Er 0.000 0.000 0.000
Fe 0.210 0.210 0.210
Fe 0.790 0.790 0.790
O 0.127 0.127 0.127
O 0.291 0.291 0.291
O 0.709 0.709 0.709
O 0.873 0.873 0.873

Values from the calculation:
DOS(E_F)	3.71	states/eV/f.u.
space group	R-3m, No. 166

=====

No. 4
Here is ErFeO3 after structural relaxation from Alexandria. Energies are from GGA+U.

Cell: 5.564 7.443 5.166 Å, 90.00 90.00 90.00°
Fractional coordinates of all 20 atoms:
Er 0.078 0.250 0.023
Er 0.422 0.750 0.523
Er 0.578 0.250 0.477
Er 0.922 0.750 0.977
Fe 0.000 0.000 0.500
Fe 0.000 0.500 0.500
Fe 0.500 0.000 0.000
Fe 0.500 0.500 0.000
O 0.034 0.750 0.390
O 0.193 0.555 0.809
O 0.193 0.945 0.809
O 0.307 0.055 0.309
O 0.307 0.445 0.309
O 0.466 0.250 0.890
O 0.534 0.750 0.110
O 0.693 0.555 0.691
O 0.693 0.945 0.691
O 0.807 0.055 0.191
O 0.807 0.445 0.191
O 0.966 0.250 0.610

Values from the calculation:
DOS(E_F)	0.00	states/eV/f.u.
space group	Pnma, No. 62

=====

No. 5
Here is ErFe2O4 after structural relaxation from Alexandria. Energies are from GGA+U.

Cell: 5.774 5.829 5.831 Å, 109.81 109.26 109.09°
Fractional coordinates of all 14 atoms:
Er 0.250 0.118 0.381
Er 0.750 0.882 0.619
Fe 0.000 0.500 0.000
Fe 0.000 0.500 0.500
Fe 0.500 0.000 0.000
Fe 0.500 0.500 0.000
O 0.057 0.280 0.692
O 0.077 0.802 0.846
O 0.424 0.654 0.699
O 0.444 0.810 0.222
O 0.556 0.190 0.778
O 0.576 0.346 0.301
O 0.923 0.198 0.154
O 0.943 0.720 0.308

Values from the calculation:
DOS(E_F)	0.00	states/eV/f.u.
space group	P-1, No. 2

=====

No. 6
Here is ErPaFeO6 after structural relaxation from Alexandria. Energies are from GGA+U.

Cell: 5.275 5.275 4.811 Å, 90.00 90.00 120.00°
Fractional coordinates of all 9 atoms:
Er 0.000 0.000 0.000
Pa 0.333 0.667 0.500
Fe 0.667 0.333 0.000
O 0.374 0.023 0.768
O 0.374 0.351 0.232
O 0.649 0.023 0.232
O 0.649 0.626 0.768
O 0.977 0.351 0.768
O 0.977 0.626 0.232

Values from the calculation:
DOS(E_F)	4.42	states/eV/f.u.
space group	P312, No. 149

=====

No. 7
Here is ErPaFe2O8 after structural relaxation from Alexandria. Energies are from GGA+U.

Cell: 5.974 5.974 5.974 Å, 107.72 107.72 113.03°
Fractional coordinates of all 12 atoms:
Er 0.000 0.000 0.000
Pa 0.750 0.250 0.500
Fe 0.250 0.750 0.500
Fe 0.500 0.500 0.000
O 0.063 0.384 0.321
O 0.063 0.742 0.679
O 0.109 0.302 0.807
O 0.258 0.937 0.321
O 0.494 0.302 0.193
O 0.616 0.937 0.679
O 0.698 0.506 0.807
O 0.698 0.891 0.193

Values from the calculation:
DOS(E_F)	3.35	states/eV/f.u.
space group	I-4m2, No. 119

=====

No. 8
Here is ErPuFeO6 after structural relaxation from Alexandria. Energies are from GGA+U.

Cell: 5.629 5.629 8.853 Å, 90.00 90.00 120.00°
Fractional coordinates of all 18 atoms:
Er 0.333 0.667 0.250
Er 0.667 0.333 0.750
Pu 0.333 0.667 0.750
Pu 0.667 0.333 0.250
Fe 0.000 0.000 0.000
Fe 0.000 0.000 0.500
O 0.031 0.360 0.629
O 0.031 0.671 0.871
O 0.329 0.360 0.871
O 0.329 0.969 0.629
O 0.360 0.031 0.129
O 0.360 0.329 0.371
O 0.640 0.671 0.629
O 0.640 0.969 0.871
O 0.671 0.031 0.371
O 0.671 0.640 0.129
O 0.969 0.329 0.129
O 0.969 0.640 0.371

Values from the calculation:
space group	P-31c, No. 163

=====

No. 9
Here is ErPuFe2O8 after structural relaxation from Alexandria. Energies are from GGA+U.

Cell: 5.912 5.912 5.912 Å, 108.54 108.54 111.35°
Fractional coordinates of all 12 atoms:
Er 0.000 0.000 0.000
Pu 0.750 0.250 0.500
Fe 0.250 0.750 0.500
Fe 0.500 0.500 0.000
O 0.052 0.369 0.317
O 0.052 0.734 0.683
O 0.110 0.308 0.802
O 0.266 0.948 0.317
O 0.506 0.308 0.198
O 0.631 0.948 0.683
O 0.692 0.494 0.802
O 0.692 0.890 0.198

Values from the calculation:
DOS(E_F)	6.30	states/eV/f.u.
space group	I-4m2, No. 119

=====

No. 10
Here is Rb2Er2FeO6 after structural relaxation from Alexandria. Energies are from GGA+U.

Cell: 5.663 5.663 6.863 Å, 97.53 97.53 119.42°
Fractional coordinates of all 11 atoms:
Rb 0.165 0.835 0.000
Rb 0.835 0.165 0.000
Er 0.335 0.665 0.500
Er 0.665 0.335 0.500
Fe 0.000 0.000 0.500
O 0.049 0.350 0.661
O 0.247 0.247 0.337
O 0.350 0.049 0.661
O 0.650 0.951 0.339
O 0.753 0.753 0.663
O 0.951 0.650 0.339

Values from the calculation:
space group	C2/m, No. 12

=====

No. 11
Here is Rb3Er2FeO6 after structural relaxation from Alexandria. Energies are from GGA+U.

Cell: 5.846 5.846 6.785 Å, 98.24 98.24 119.96°
Fractional coordinates of all 12 atoms:
Rb 0.000 0.000 0.000
Rb 0.335 0.665 0.000
Rb 0.665 0.335 0.000
Er 0.167 0.833 0.500
Er 0.833 0.167 0.500
Fe 0.500 0.500 0.500
O 0.127 0.443 0.329
O 0.240 0.240 0.672
O 0.443 0.127 0.329
O 0.557 0.873 0.671
O 0.760 0.760 0.328
O 0.873 0.557 0.671

Values from the calculation:
DOS(E_F)	0.00	states/eV/f.u.
space group	C2/m, No. 12

=====

No. 12
Here is Er2FeSnO6 after structural relaxation from Alexandria. Energies are from GGA+U.

Cell: 5.560 5.577 5.816 Å, 117.80 90.91 119.59°
Fractional coordinates of all 10 atoms:
Er 0.000 0.000 0.000
Er 0.498 0.995 0.496
Fe 0.279 0.557 0.844
Sn 0.786 0.571 0.362
O 0.068 0.485 0.166
O 0.162 0.059 0.652
O 0.422 0.095 0.165
O 0.588 0.746 0.653
O 0.665 0.737 0.156
O 0.908 0.487 0.661

Values from the calculation:
DOS(E_F)	0.00	states/eV/f.u.
space group	P1, No. 1

=====

No. 13
Here is Sr2ErFeO5 after structural relaxation from Alexandria. Energies are from GGA+U.

Cell: 7.323 7.323 10.869 Å, 90.00 90.00 153.01°
Fractional coordinates of all 18 atoms:
Sr 0.117 0.883 0.500
Sr 0.133 0.867 0.073
Sr 0.867 0.133 0.573
Sr 0.883 0.117 0.000
Er 0.217 0.783 0.795
Er 0.783 0.217 0.295
Fe 0.494 0.506 0.263
Fe 0.506 0.494 0.763
O 0.054 0.946 0.824
O 0.287 0.713 0.434
O 0.297 0.703 0.161
O 0.375 0.625 0.806
O 0.498 0.502 0.589
O 0.502 0.498 0.089
O 0.625 0.375 0.306
O 0.703 0.297 0.661
O 0.713 0.287 0.934
O 0.946 0.054 0.324

Values from the calculation:
DOS(E_F)	0.00	states/eV/f.u.
space group	Cmc2_1, No. 36

=====

No. 14
Here is Sr4ErFe3O12 after structural relaxation from Alexandria. Energies are from GGA+U.

Cell: 6.924 6.924 6.924 Å, 109.47 109.47 109.47°
Fractional coordinates of all 20 atoms:
Sr 0.000 0.000 0.500
Sr 0.000 0.500 0.000
Sr 0.500 0.000 0.000
Sr 0.500 0.500 0.500
Er 0.000 0.000 0.000
Fe 0.000 0.500 0.500
Fe 0.500 0.000 0.500
Fe 0.500 0.500 0.000
O 0.000 0.268 0.268
O 0.000 0.732 0.732
O 0.250 0.500 0.750
O 0.250 0.750 0.500
O 0.268 0.000 0.268
O 0.268 0.268 0.000
O 0.500 0.250 0.750
O 0.500 0.750 0.250
O 0.732 0.000 0.732
O 0.732 0.732 0.000
O 0.750 0.250 0.500
O 0.750 0.500 0.250

Values from the calculation:
DOS(E_F)	8.01	states/eV/f.u.
space group	Im-3m, No. 229

=====

No. 15
Here is ErTl2FeO6 after structural relaxation from Alexandria. Energies are from GGA+U.

Cell: 5.809 5.809 5.809 Å, 57.38 57.38 57.38°
Fractional coordinates of all 10 atoms:
Er 0.000 0.000 0.000
Tl 0.267 0.267 0.267
Tl 0.778 0.778 0.778
Fe 0.492 0.492 0.492
O 0.145 0.703 0.377
O 0.241 0.615 0.840
O 0.377 0.145 0.703
O 0.615 0.840 0.241
O 0.703 0.377 0.145
O 0.840 0.241 0.615

Values from the calculation:
space group	R3, No. 146

=====

No. 16
Here is Er2VFeO6 after structural relaxation from Alexandria. Energies are from GGA+U.

Cell: 5.215 5.655 9.137 Å, 90.00 124.63 90.00°
Fractional coordinates of all 20 atoms:
Er 0.226 0.075 0.249
Er 0.226 0.425 0.749
Er 0.774 0.575 0.251
Er 0.774 0.925 0.751
V 0.500 0.000 0.000
V 0.500 0.500 0.500
Fe 0.000 0.000 0.500
Fe 0.000 0.500 0.000
O 0.130 0.194 0.942
O 0.130 0.306 0.442
O 0.248 0.688 0.942
O 0.248 0.812 0.442
O 0.364 0.043 0.748
O 0.364 0.457 0.248
O 0.636 0.543 0.752
O 0.636 0.957 0.252
O 0.752 0.188 0.558
O 0.752 0.312 0.058
O 0.870 0.694 0.558
O 0.870 0.806 0.058

Values from the calculation:
space group	P2_1/c, No. 14

=====

No. 17
Here is YErFe2O6 after structural relaxation from Alexandria. Energies are from GGA+U.

Cell: 7.712 5.321 5.639 Å, 90.00 90.00 90.00°
Fractional coordinates of all 20 atoms:
Y 0.000 0.230 0.000
Y 0.000 0.770 0.500
Er 0.500 0.270 0.862
Er 0.500 0.730 0.362
Fe 0.252 0.249 0.431
Fe 0.252 0.751 0.931
Fe 0.748 0.249 0.431
Fe 0.748 0.751 0.931
O 0.000 0.365 0.389
O 0.000 0.635 0.889
O 0.191 0.059 0.737
O 0.191 0.941 0.237
O 0.313 0.442 0.126
O 0.313 0.558 0.626
O 0.500 0.127 0.479
O 0.500 0.873 0.979
O 0.687 0.442 0.126
O 0.687 0.558 0.626
O 0.809 0.059 0.737
O 0.809 0.941 0.237

Values from the calculation:
DOS(E_F)	0.00	states/eV/f.u.
space group	Pmc2_1, No. 26

=====

| no. | E_tot (eV/cell) |
| --- | --- |
| 1 | -100.00 |
| 2 | -75.61 |
| 3 | -47.95 |
| 4 | -145.34 |
| 5 | -95.27 |
| 6 | -71.98 |
| 7 | -92.19 |
| 8 | -151.12 |
| 9 | -93.95 |
| 10 | -70.62 |
| 11 | -74.27 |
| 12 | -74.11 |
| 13 | -124.46 |
| 14 | -130.24 |
| 15 | -58.54 |
| 16 | -155.30 |
| 17 | -154.93 |